# 1
# PBE TbDy2In3AgPd2, optimized geometry
data_TbDy2In3AgPd2
_chemical_formula_sum 'Tb2 Dy4 In6 Ag2 Pd4'
_symmetry_space_group_name_H-M 'A m m 2'
_symmetry_Int_Tables_number 38
_cell_length_a 3.8156
_cell_length_b 13.5449
_cell_length_c 7.8188
_cell_angle_alpha 90.00
_cell_angle_beta 90.00
_cell_angle_gamma 90.00
loop_
_symmetry_equiv_pos_as_xyz
'x,y,z'
'-x,-y,z'
'-x,y,z'
'x,-y,z'
'x,y+1/2,z+1/2'
'-x,-y+1/2,z+1/2'
'-x,y+1/2,z+1/2'
'x,-y+1/2,z+1/2'
loop_
_atom_site_label
_atom_site_fract_x
_atom_site_fract_y
_atom_site_fract_z
Tb1 0.0000 0.0000 0.0000
Dy1 0.0000 0.2051 0.3847
In1 0.5000 0.0000 0.3221
In2 0.5000 0.1339 0.7237
Ag1 0.0000 0.0000 0.5898
Pd1 0.5000 0.1667 0.0898
# * raw total energy: -4.607 eV per atom

***

# 2
# PBE HfPaNO, optimized geometry
data_HfPaNO
_chemical_formula_sum 'Hf2 Pa2 N2 O2'
_symmetry_space_group_name_H-M 'P m c 21'
_symmetry_Int_Tables_number 26
_cell_length_a 3.6686
_cell_length_b 6.2166
_cell_length_c 5.9371
_cell_angle_alpha 90.00
_cell_angle_beta 90.00
_cell_angle_gamma 90.00
loop_
_symmetry_equiv_pos_as_xyz
'x,y,z'
'-x,-y,z+1/2'
'-x,y,z'
'x,-y,z+1/2'
loop_
_atom_site_label
_atom_site_fract_x
_atom_site_fract_y
_atom_site_fract_z
Hf1 0.0000 0.1850 0.0000
Pa1 0.5000 0.3343 0.4796
N1 0.0000 0.1207 0.3476
O1 0.5000 0.2836 0.8669
# * raw total energy: -9.402 eV per atom
# * polymorph energy (0 for the lowest one): 190 meV per atom